1.
Here is a relaxed structure of Y2AlNi3Ge4 from Alexandria via LeMat-Bulk. Energies are from PBE-GGA.

Computed properties:
As for the energy relative to the elements: -0.67 eV per atom. As for the density of states at the Fermi level: 4.39 states/eV/f.u.

Structure (extended XYZ):
```
10
Lattice="-2.727 2.932 0.494 -1.131 -0.403 -3.852 -7.008 -6.986 2.790" Properties=species:S:1:pos:R:3 pbc="T T T"
Y -3.048 -0.213 0.917
Y -5.889 -5.509 0.194
Al -5.433 -2.229 -0.284
Ni -3.504 -3.493 1.395
Ni -7.495 -4.646 2.688
Ni -1.442 -1.076 -1.577
Ge -1.929 1.264 -1.679
Ge 0.000 0.000 0.000
Ge -5.907 -3.063 2.056
Ge -3.030 -2.658 -0.945
```

***

2.
Here is a relaxed structure of Li5FeHN2 from Alexandria via LeMat-Bulk. Energies are from PBE-GGA.

Computed properties:
The final energy is -0.1629 Ha/atom. As for the density of states at the Fermi level: 3.18 states/eV/f.u.

Structure (extended XYZ):
```
9
Lattice="4.070 0.000 0.000 0.000 4.070 0.000 0.000 0.000 7.283" Properties=species:S:1:pos:R:3 pbc="T T T"
Li 0.000 0.000 3.641
Li 0.000 2.035 5.673
Li 2.035 0.000 1.610
Li 0.000 2.035 1.610
Li 2.035 0.000 5.673
Fe 0.000 0.000 0.000
H 2.035 2.035 3.641
N 0.000 0.000 5.591
N 0.000 0.000 1.692
```

***

3.
Here is a relaxed structure of Sr2BiPd4Pb3 from Alexandria via LeMat-Bulk. Energies are from PBE-GGA.

Computed properties:
As for the energy relative to the elements: -0.51 eV per atom. As for the density of states at the Fermi level: 4.83 states/eV/f.u.

Structure (extended XYZ):
```
10
Lattice="-4.104 -2.643 -0.070 0.550 -0.727 -4.796 5.783 -9.032 2.033" Properties=species:S:1:pos:R:3 pbc="T T T"
Sr -0.669 -3.482 0.451
Sr 4.675 -7.235 -0.851
Bi 1.115 -6.201 -1.416
Pd -1.777 -1.685 -2.433
Pd 0.000 0.000 0.000
Pd 1.609 -7.039 1.252
Pd 2.397 -3.677 -1.652
Pb 2.891 -4.516 1.017
Pb 3.051 -9.291 1.759
Pb 0.955 -1.426 -2.159
```

***

4.
Here is a relaxed structure of MgBi from Alexandria via LeMat-Bulk. Energies are from PBE-GGA.

Computed properties:
As for the energy relative to the elements: -0.09 eV per atom. As for the density of states at the Fermi level: 0.99 states/eV/f.u.

Structure (extended XYZ):
```
4
Lattice="-3.985 0.479 2.641 3.177 -3.605 0.107 3.282 3.023 4.405" Properties=species:S:1:pos:R:3 pbc="T T T"
Mg 0.886 1.700 7.099
Mg -0.755 0.188 4.897
Bi 2.227 -0.289 5.233
Bi 0.248 0.186 1.919
```

***

5.
Here is a relaxed structure of TbHfPa from Alexandria via LeMat-Bulk. Energies are from PBE-GGA.

Computed properties:
As for the energy relative to the elements: 0.15 eV per atom. The distance to the lowest polymorph of the same formula comes out at 0 kJ/mol of formula units. As for the density of states at the Fermi level: 5.12 states/eV/f.u.

Structure (extended XYZ):
```
3
Lattice="3.267 0.000 0.000 1.634 2.829 0.000 1.634 0.943 8.337" Properties=species:S:1:pos:R:3 pbc="T T T"
Tb 1.634 0.943 0.112
Pa 3.267 1.886 2.985
Hf 1.634 0.943 5.606
```

***

6.
Here is a relaxed structure of Na2TaGeO6 from Alexandria via LeMat-Bulk. Energies are from PBE-GGA.

Computed properties:
The final energy is -0.2521 Ha/atom. As for the density of states at the Fermi level: 3.70 states/eV/f.u.

Structure (extended XYZ):
```
10
Lattice="3.937 0.000 0.000 0.000 5.448 0.000 0.000 0.000 5.448" Properties=species:S:1:pos:R:3 pbc="T T T"
Na 0.568 2.724 0.000
Na 0.568 0.000 2.724
Ta 2.539 2.724 2.724
Ge 2.538 0.000 0.000
O 2.539 1.325 1.325
O 2.539 1.325 4.123
O 0.570 2.724 2.724
O 0.570 0.000 0.000
O 2.539 4.123 4.123
O 2.539 4.123 1.325
```

***

7.
Here is a relaxed structure of CsScSn3 from Alexandria via LeMat-Bulk. Energies are from PBE-GGA.

Computed properties:
As for the energy relative to the elements: -0.05 eV per atom. The distance to the lowest polymorph of the same formula comes out at 0 kJ/mol of formula units. As for the density of states at the Fermi level: 3.36 states/eV/f.u.

Structure (extended XYZ):
```
5
Lattice="-3.286 4.005 -2.316 -4.584 -2.439 2.287 0.619 3.195 4.648" Properties=species:S:1:pos:R:3 pbc="T T T"
Cs -3.626 2.380 2.310
Sc 0.000 0.000 0.000
Sn -2.292 -1.220 1.144
Sn 0.309 1.598 2.324
Sn -1.643 2.002 -1.158
```

***

8.
Here is a relaxed structure of CsHN2F from Alexandria via LeMat-Bulk. Energies are from PBE-GGA.

Computed properties:
The distance to the lowest polymorph of the same formula comes out at 382 kJ/mol of formula units. As for the density of states at the Fermi level: 1.32 states/eV/f.u.

Structure (extended XYZ):
```
5
Lattice="-0.859 -0.510 -4.899 -4.493 -1.956 0.992 -2.066 4.684 -0.125" Properties=species:S:1:pos:R:3 pbc="T T T"
Cs 0.000 0.000 0.000
H -3.710 1.110 -2.016
N -2.247 -0.978 0.496
N -0.430 -0.255 -2.450
F -1.033 2.342 -0.062
```

***

9.
Here is a relaxed structure of CaLaTbSc from Alexandria via LeMat-Bulk. Energies are from PBE-GGA.

Computed properties:
As for the energy relative to the elements: 0.14 eV per atom. As for the density of states at the Fermi level: 6.34 states/eV/f.u.

Structure (extended XYZ):
```
4
Lattice="-2.352 -4.730 2.177 2.786 -4.979 -0.311 2.176 -2.356 4.729" Properties=species:S:1:pos:R:3 pbc="T T T"
Sc 0.000 0.000 0.000
Ca 1.305 -6.033 3.298
Tb 1.957 -9.049 4.946
La 0.652 -3.016 1.649
```

***

10.
Here is a relaxed structure of Na7Cu3O8 from Alexandria via LeMat-Bulk. Energies are from PBE-GGA.

Computed properties:
The final energy is -0.1661 Ha/atom.

Structure (extended XYZ):
```
18
Lattice="-2.815 -3.610 3.299 5.174 -1.273 3.063 -2.426 7.391 1.722" Properties=species:S:1:pos:R:3 pbc="T T T"
Na 0.300 1.316 2.789
Na -2.644 2.805 3.764
Na 1.034 -3.077 4.500
Na -1.213 3.696 0.861
Na -1.100 5.584 3.585
Na 2.577 -0.298 4.321
Na -0.367 1.192 5.295
Cu -1.384 -1.239 3.633
Cu 0.000 0.000 0.000
Cu 1.317 3.746 4.452
O 0.389 -0.863 3.831
O -1.858 0.530 3.461
O -1.115 -3.119 3.823
O -3.196 -1.840 3.588
O 3.129 4.347 4.497
O 1.049 5.627 4.261
O 1.791 1.977 4.624
O -0.456 3.371 4.254
```

***

11.
Here is a relaxed structure of CdInIr3 from Alexandria via LeMat-Bulk. Energies are from PBE-GGA.

Computed properties:
As for the energy relative to the elements: 1.81 eV per atom. The distance to the lowest polymorph of the same formula comes out at 0 kJ/mol of formula units. As for the density of states at the Fermi level: 8.61 states/eV/f.u.

Structure (extended XYZ):
```
5
Lattice="4.881 0.000 0.000 0.000 4.881 0.000 0.000 0.000 4.881" Properties=species:S:1:pos:R:3 pbc="T T T"
Cd 2.441 2.441 2.441
Ir 0.000 2.441 0.000
Ir 0.000 0.000 2.441
Ir 2.441 0.000 0.000
In 0.000 0.000 0.000
```

***

12.
Here is a relaxed structure of KSrPdF6 from Alexandria via LeMat-Bulk. Energies are from PBE-GGA.

Computed properties:
The final energy is -0.1714 Ha/atom. As for the density of states at the Fermi level: 1.43 states/eV/f.u.

Structure (extended XYZ):
```
18
Lattice="7.843 0.000 0.000 0.000 8.070 0.000 -3.922 -4.035 5.065" Properties=species:S:1:pos:R:3 pbc="T T T"
K 3.922 2.017 3.494
K 0.000 2.017 1.570
Sr 1.961 -2.017 2.532
Sr -1.961 -2.017 2.532
Pd 3.922 4.035 0.000
Pd 3.922 0.000 0.000
F 3.922 6.052 0.767
F 3.922 -2.017 3.900
F 5.320 0.284 1.381
F 2.523 3.751 1.381
F 2.523 0.284 1.381
F 5.320 3.751 1.381
F 0.000 -2.017 4.298
F 0.000 6.052 1.165
F -1.399 3.751 3.684
F 1.399 0.284 3.684
F 1.399 3.751 3.684
F -1.399 0.284 3.684
```

***

Q: What is the formula in the seventh record?
A: CsScSn3